Compound: SrAl2Ru
Source: the Alexandria database
Functional: PBE
Structure: optimized geometry

Cell and atoms, written as POSCAR:
```
SrAl2Ru
1.0
4.308 0.000 0.000
-2.154 3.731 0.000
0.000 0.000 17.084
Sr Al Ru
3 6 3
Direct
0.000 0.000 0.000 Sr
0.333 0.667 0.667 Sr
0.667 0.333 0.333 Sr
0.000 0.000 0.197 Al
0.000 0.000 0.803 Al
0.333 0.667 0.470 Al
0.333 0.667 0.864 Al
0.667 0.333 0.136 Al
0.667 0.333 0.530 Al
0.000 0.000 0.500 Ru
0.333 0.667 0.167 Ru
0.667 0.333 0.833 Ru
```

Summary:
* formation enthalpy at 0 K: -348 meV per atom